This record from Alexandria via LeMat-Bulk describes an optimized crystal structure of KCd2Ru. The functional is PBEsol.

Computed properties:
M_tot ... 0.06 Bohr magnetons per cell
Calculated formation energy ... 0.465 eV per atom

The structure in CIF format:
```
data_KCd2Ru
_symmetry_space_group_name_H-M 'C 1 m 1'
_symmetry_Int_Tables_number 8
_symmetry_space_group_name_Hall 'C -2y'
_cell_length_a 16.0651
_cell_length_b 2.8721
_cell_length_c 4.6340
_cell_angle_alpha 90.00
_cell_angle_beta 106.70
_cell_angle_gamma 90.00
loop_
_atom_site_label
_atom_site_type_symbol
_atom_site_fract_x
_atom_site_fract_y
_atom_site_fract_z
K1 K 0.0000 0.0000 0.0000
Cd1 Cd 0.1587 0.5000 0.6572
Cd2 Cd 0.3138 0.5000 0.3124
Ru1 Ru 0.3071 0.0000 0.8057
```